Entry from OQMD: a relaxed structure of YGa2Ni (PBE-GGA).

```
YGa2Ni
1.0
0.000 3.262 3.262
3.262 0.000 3.262
3.262 3.262 0.000
Ga Ni Y
2 1 1
Cartesian
3.262 3.262 3.262
4.893 4.893 4.893
0.000 0.000 0.000
1.631 1.631 1.631
```

Calculated values
- SG: F-43m (216)
- Total energy: -19.517 eV/cell


Entry from OQMD: a relaxed structure of LiScNiSn (PBE-GGA).

```
LiScNiSn
1.0
1.636 -4.218 0.492
-2.615 -3.259 1.802
-1.569 -3.370 -2.626
Li Ni Sc Sn
1 1 1 1
Cartesian
-1.911 -8.135 -0.249
-1.274 -5.424 -0.166
0.000 0.000 0.000
-0.637 -2.712 -0.083
```

Calculated values
- SG: F-43m (216)
- Distance to the lowest polymorph of the same formula: 0.259 eV/atom
- Total energy: -19.219 eV/cell


Entry from OQMD: a relaxed structure of TbDyHg (PBE-GGA).

```
TbDyHg
1.0
3.070 -0.165 4.066
-0.060 3.802 3.395
-1.960 -0.760 4.644
Dy Hg Tb
1 1 1
Cartesian
0.262 0.719 3.026
0.000 0.000 0.000
0.787 2.158 9.079
```

Calculated values
- SG: F-43m (216)
- Distance to the lowest polymorph of the same formula: 0.250 eV/atom
- Total energy: -9.860 eV/cell